{"formula": "TiReSiCl2", "functional": "PBE", "state": "relaxed", "total_energy_ev_per_fu": -26.119, "sg": "P4/mmm", "total_magnetization_mub_per_fu": 1.22, "formation_energy_uncorrected_ev_per_atom": 0.668, "lattice_angstrom": [[4.480, 0.000, 0.000], [0.000, 4.480, 0.000], [0.000, 0.000, 5.417]], "species": ["Ti", "Re", "Si", "Cl", "Cl"], "fractional_positions": [[0.000, 0.000, 0.000], [0.000, 0.000, 0.500], [0.500, 0.500, 0.500], [0.000, 0.500, 0.000], [0.500, 0.000, 0.000]]}

{"formula": "SmReCl", "functional": "PBE", "state": "relaxed", "total_energy_ev_per_fu": -20.010, "sg": "Cm", "e_above_lowest_polymorph_mev_per_atom": 682.9, "total_magnetization_mub_per_fu": 0.39, "formation_energy_uncorrected_ev_per_atom": -0.332, "lattice_angstrom": [[6.290, 0.000, 0.000], [0.000, 3.635, 0.000], [-0.005, 0.000, 13.276]], "species": ["Sm", "Sm", "Sm", "Sm", "Re", "Re", "Re", "Re", "Cl", "Cl", "Cl", "Cl"], "fractional_positions": [[0.000, 0.000, 0.000], [0.166, 0.500, 0.780], [0.500, 0.500, 0.000], [0.666, 0.000, 0.780], [0.166, 0.500, 0.346], [0.332, 0.000, 0.434], [0.666, 0.000, 0.346], [0.832, 0.500, 0.434], [0.167, 0.500, 0.152], [0.332, 0.000, 0.629], [0.667, 0.000, 0.152], [0.832, 0.500, 0.629]]}

{"formula": "SmReCl", "functional": "PBE", "state": "relaxed", "total_energy_ev_per_fu": -22.058, "sg": "R-3m", "e_above_lowest_polymorph_mev_per_atom": 0.0, "total_magnetization_mub_per_fu": 0.00, "formation_energy_uncorrected_ev_per_atom": -1.015, "lattice_angstrom": [[2.069, 1.195, 11.217], [-2.069, 1.195, 11.217], [0.000, -2.390, 11.217]], "species": ["Sm", "Sm", "Re", "Re", "Cl", "Cl"], "fractional_positions": [[0.066, 0.066, 0.066], [0.934, 0.934, 0.934], [0.340, 0.340, 0.340], [0.660, 0.660, 0.660], [0.218, 0.218, 0.218], [0.782, 0.782, 0.782]]}

{"formula": "ReSnCl3", "functional": "PBE", "state": "relaxed", "total_energy_ev_per_fu": -20.369, "sg": "Pm-3m", "e_above_lowest_polymorph_mev_per_atom": 0.0, "total_magnetization_mub_per_fu": 1.34, "formation_energy_uncorrected_ev_per_atom": 0.324, "lattice_angstrom": [[4.852, 0.000, 0.000], [0.000, 4.852, 0.000], [0.000, 0.000, 4.852]], "species": ["Re", "Sn", "Cl", "Cl", "Cl"], "fractional_positions": [[0.000, 0.000, 0.000], [0.500, 0.500, 0.500], [0.000, 0.000, 0.500], [0.000, 0.500, 0.000], [0.500, 0.000, 0.000]]}

{"formula": "ReSnCl2", "functional": "PBE", "state": "relaxed", "total_energy_ev_per_fu": -18.734, "sg": "R-3m", "e_above_lowest_polymorph_mev_per_atom": 136.2, "total_magnetization_mub_per_fu": 0.00, "formation_energy_uncorrected_ev_per_atom": 0.352, "lattice_angstrom": [[3.195, 0.000, 0.000], [-1.598, 2.767, 0.000], [0.000, 0.000, 33.904]], "species": ["Re", "Re", "Re", "Sn", "Sn", "Sn", "Cl", "Cl", "Cl", "Cl", "Cl", "Cl"], "fractional_positions": [[0.000, 0.000, 0.000], [0.333, 0.667, 0.667], [0.667, 0.333, 0.333], [0.000, 0.000, 0.500], [0.333, 0.667, 0.167], [0.667, 0.333, 0.833], [0.000, 0.000, 0.382], [0.000, 0.000, 0.618], [0.333, 0.667, 0.048], [0.333, 0.667, 0.285], [0.667, 0.333, 0.715], [0.667, 0.333, 0.952]]}

{"formula": "ReSnCl2", "functional": "PBE", "state": "relaxed", "total_energy_ev_per_fu": -19.279, "sg": "R-3m", "e_above_lowest_polymorph_mev_per_atom": 0.0, "total_magnetization_mub_per_fu": 0.00, "formation_energy_uncorrected_ev_per_atom": 0.216, "lattice_angstrom": [[3.093, 0.000, 0.000], [-1.547, 2.679, 0.000], [0.000, 0.000, 29.214]], "species": ["Re", "Re", "Re", "Sn", "Sn", "Sn", "Cl", "Cl", "Cl", "Cl", "Cl", "Cl"], "fractional_positions": [[0.000, 0.000, 0.000], [0.333, 0.667, 0.667], [0.667, 0.333, 0.333], [0.000, 0.000, 0.500], [0.333, 0.667, 0.167], [0.667, 0.333, 0.833], [0.000, 0.000, 0.078], [0.000, 0.000, 0.922], [0.333, 0.667, 0.589], [0.333, 0.667, 0.744], [0.667, 0.333, 0.256], [0.667, 0.333, 0.411]]}

{"formula": "ReSn2Cl", "functional": "PBE", "state": "relaxed", "total_energy_ev_per_fu": -19.246, "sg": "Fm-3m", "e_above_lowest_polymorph_mev_per_atom": 105.2, "total_magnetization_mub_per_fu": 2.81, "formation_energy_uncorrected_ev_per_atom": 0.764, "lattice_angstrom": [[7.049, 0.000, 0.000], [0.000, 7.049, 0.000], [0.000, 0.000, 7.049]], "species": ["Re", "Re", "Re", "Re", "Sn", "Sn", "Sn", "Sn", "Sn", "Sn", "Sn", "Sn", "Cl", "Cl", "Cl", "Cl"], "fractional_positions": [[0.000, 0.000, 0.000], [0.000, 0.500, 0.500], [0.500, 0.000, 0.500], [0.500, 0.500, 0.000], [0.250, 0.250, 0.250], [0.250, 0.250, 0.750], [0.250, 0.750, 0.250], [0.250, 0.750, 0.750], [0.750, 0.250, 0.250], [0.750, 0.250, 0.750], [0.750, 0.750, 0.250], [0.750, 0.750, 0.750], [0.000, 0.000, 0.500], [0.000, 0.500, 0.000], [0.500, 0.000, 0.000], [0.500, 0.500, 0.500]]}

{"formula": "ReSnCl2", "functional": "PBE", "state": "relaxed", "total_energy_ev_per_fu": -16.140, "sg": "Fm-3m", "e_above_lowest_polymorph_mev_per_atom": 784.8, "total_magnetization_mub_per_fu": 3.44, "formation_energy_uncorrected_ev_per_atom": 1.001, "lattice_angstrom": [[6.964, 0.000, 0.000], [0.000, 6.964, 0.000], [0.000, 0.000, 6.964]], "species": ["Re", "Re", "Re", "Re", "Sn", "Sn", "Sn", "Sn", "Cl", "Cl", "Cl", "Cl", "Cl", "Cl", "Cl", "Cl"], "fractional_positions": [[0.000, 0.000, 0.000], [0.000, 0.500, 0.500], [0.500, 0.000, 0.500], [0.500, 0.500, 0.000], [0.000, 0.000, 0.500], [0.000, 0.500, 0.000], [0.500, 0.000, 0.000], [0.500, 0.500, 0.500], [0.250, 0.250, 0.250], [0.250, 0.250, 0.750], [0.250, 0.750, 0.250], [0.250, 0.750, 0.750], [0.750, 0.250, 0.250], [0.750, 0.250, 0.750], [0.750, 0.750, 0.250], [0.750, 0.750, 0.750]]}

> Which formula does entry 2 have?

SmReCl